No. 1
## Ba2LaSbO6 (GGA-PBEsol)

Data for a geometry-optimized Ba2LaSbO6 structure.

Results
Calculated volume = 16.12 A^3/atom
SG = Fm-3m (225)
VASP energy = -0.530 Ry/atom
Total magnetic moment = 0.000 μB per cell
E_form (uncorrected) = -2.644 eV per atom

abc: 6.108 6.108 6.108
angles: 60.00 60.00 60.00
Positions (direct):
Sb 0.500 0.500 0.500
Ba 0.750 0.750 0.750
Ba 0.250 0.250 0.250
O 0.269 0.731 0.269
O 0.269 0.269 0.731
O 0.731 0.731 0.269
O 0.269 0.731 0.731
O 0.731 0.269 0.731
O 0.731 0.269 0.269
La 0.000 0.000 0.000


No. 2
## Rb2NaScCl6 (GGA-PBEsol)

Data for a geometry-optimized Rb2NaScCl6 structure.

Results
Calculated volume = 27.31 A^3/atom
SG = Fm-3m (225)
VASP energy = -0.312 Ry/atom
Total magnetic moment = 0.000 μB per cell
E_form (uncorrected) = -2.035 eV per atom

abc: 7.283 7.283 7.283
angles: 60.00 60.00 60.00
Positions (direct):
Sc 0.000 0.000 0.000
Na 0.500 0.500 0.500
Rb 0.250 0.250 0.250
Rb 0.750 0.750 0.750
Cl 0.761 0.239 0.239
Cl 0.239 0.761 0.239
Cl 0.239 0.761 0.761
Cl 0.761 0.239 0.761
Cl 0.239 0.239 0.761
Cl 0.761 0.761 0.239


No. 3
## Sr8Cd (GGA-PBEsol)

Data for a geometry-optimized Sr8Cd structure.

Results
Calculated volume = 46.27 A^3/atom
SG = I4/mmm (139)
VASP energy = -0.132 Ry/atom
Total magnetic moment = 0.000 μB per cell
ΔH_f (0 K) = -0.021 eV/atom

abc: 4.484 9.894 9.894
angles: 87.06 76.90 76.90
Positions (direct):
Cd 0.000 0.000 0.000
Sr 0.351 0.000 0.298
Sr 0.649 0.000 0.702
Sr 0.665 0.335 0.335
Sr 0.351 0.298 0.000
Sr 0.000 0.335 0.665
Sr 0.649 0.702 0.000
Sr 0.335 0.665 0.665
Sr 0.000 0.665 0.335


No. 4
## FeGe3N (GGA-PBEsol)

Data for a geometry-optimized FeGe3N structure.

Results
Calculated volume = 14.58 A^3/atom
SG = Pm-3m (221)
VASP energy = -0.418 Ry/atom
Total magnetic moment = 2.478 μB per cell
E_form (uncorrected) = 0.779 eV per atom

abc: 4.177 4.177 4.177
angles: 90.00 90.00 90.00
Last column: magnetic moment on the atom in μB.
Positions (direct):
Ge 0.000 0.500 0.000  -0.03
Ge 0.000 0.000 0.500  -0.03
Ge 0.500 0.000 0.000  -0.03
Fe 0.500 0.500 0.500  2.67
N 0.000 0.000 0.000  -0.10


No. 5
## KTl2In (GGA-PBEsol)

Data for a geometry-optimized KTl2In structure.

Results
Calculated volume = 29.97 A^3/atom
SG = Imm2 (44)
VASP energy = -0.173 Ry/atom
Total magnetic moment = 0.001 μB per cell
ΔH_f (0 K) = -0.006 eV/atom

abc: 4.127 5.398 6.363
angles: 115.10 108.92 90.00
Positions (direct):
Tl 0.015 0.015 0.030
Tl 0.756 0.256 0.511
K 0.247 0.747 0.495
In 0.482 0.482 0.964


No. 6
## HfCrP2Cl (GGA-PBEsol)

Data for a geometry-optimized HfCrP2Cl structure.

Results
Calculated volume = 23.53 A^3/atom
SG = P4/mmm (123)
VASP energy = -0.487 Ry/atom
Total magnetic moment = 4.259 μB per cell
E_form (uncorrected) = 0.248 eV per atom

abc: 4.797 4.953 4.953
angles: 90.00 90.00 90.00
Last column: magnetic moment on the atom in μB.
Positions (direct):
Cr 0.500 0.500 0.500  4.12
Hf 0.000 0.000 0.000  0.00
P 0.000 0.000 0.500  -0.09
P 0.000 0.500 0.000  -0.09
Cl 0.500 0.000 0.000  0.00


No. 7
## CdGaAs2 (GGA-PBEsol)

Data for a geometry-optimized CdGaAs2 structure.

Results
Calculated volume = 19.26 A^3/atom
SG = Fm-3m (225)
VASP energy = -0.254 Ry/atom
Total magnetic moment = 0.000 μB per cell
ΔH_f (0 K) = 0.232 eV/atom

abc: 4.776 4.776 4.776
angles: 60.00 60.00 60.00
Positions (direct):
As 0.250 0.250 0.250
As 0.750 0.750 0.750
Ga 0.000 0.000 0.000
Cd 0.500 0.500 0.500


No. 8
## Co4Te (GGA-PBEsol)

Data for a geometry-optimized Co4Te structure.

Results
Calculated volume = 16.09 A^3/atom
SG = Im-3m (229)
VASP energy = -0.426 Ry/atom
Total magnetic moment = 5.143 μB per cell
E_form (uncorrected) = 1.093 eV per atom

abc: 4.710 4.710 4.710
angles: 109.47 109.47 109.47
Last column: magnetic moment on the atom in μB.
Positions (direct):
Te 0.000 0.000 0.000  -0.04
Co 0.000 0.000 0.500  1.32
Co 0.000 0.500 0.000  1.32
Co 0.500 0.000 0.000  1.32
Co 0.500 0.500 0.500  1.32